No. 1
The following is a DFT calculation (PBE with a Hubbard U) of a relaxed AcMnSe2O8 crystal.

Computed properties:
- E_tot: -6.22 eV per atom
- Fermi-level density of states: 4.9 states/eV per cell

```
data_AcMnSe2O8
_cell_length_a 7.394
_cell_length_b 7.394
_cell_length_c 6.690
_cell_angle_alpha 90.00
_cell_angle_beta 90.00
_cell_angle_gamma 90.00
_space_group_name_H-M_alt 'I -4 m 2'
_space_group_IT_number 119
_space_group_name_Hall 'I -4 -2'
loop_
_atom_site_label
_atom_site_type_symbol
_atom_site_fract_x
_atom_site_fract_y
_atom_site_fract_z
Ac1 Ac 0.000 0.000 0.000
Mn1 Mn 0.000 0.500 0.750
Se1 Se 0.000 0.000 0.500
Se2 Se 0.000 0.500 0.250
O1 O 0.000 0.192 0.672
O2 O 0.000 0.328 0.089
```

---

No. 2
The following is a DFT calculation (PBE with a Hubbard U) of a relaxed AcMnSeO6 crystal.

Computed properties:
- E_tot: -6.64 eV per atom

```
data_AcMnSeO6
_cell_length_a 5.0766
_cell_length_b 5.0766
_cell_length_c 5.3611
_cell_angle_alpha 90.00
_cell_angle_beta 90.00
_cell_angle_gamma 120.00
_space_group_name_H-M_alt 'P 3 1 2'
_space_group_IT_number 149
loop_
_space_group_symop_operation_xyz
'x,y,z'
'-y,x-y,z'
'-x+y,-x,z'
'-y,-x,-z'
'-x+y,y,-z'
'x,x-y,-z'
loop_
_atom_site_label
_atom_site_type_symbol
_atom_site_fract_x
_atom_site_fract_y
_atom_site_fract_z
Ac1 Ac 0.0000 0.0000 0.0000
Mn1 Mn 0.3333 0.6667 0.5000
Se1 Se 0.6667 0.3333 0.5000
O1 O 0.3937 0.0161 0.6996
```

---

No. 3
The following is a DFT calculation (PBE with a Hubbard U) of a relaxed AcMnSe2O crystal.

Computed properties:
- E_tot: -6.41 eV per atom
- Fermi-level density of states: 3.7 states/eV per cell

```
data_AcMnSe2O
_cell_length_a 4.121
_cell_length_b 4.121
_cell_length_c 13.713
_cell_angle_alpha 90.00
_cell_angle_beta 90.00
_cell_angle_gamma 90.00
_space_group_name_H-M_alt 'P 4/n m m'
_space_group_IT_number 129
loop_
_space_group_symop_operation_xyz
'x,y,z'
'-x,-y,-z'
'-y+1/2,x,z'
'y+1/2,-x,-z'
'-x+1/2,-y+1/2,z'
'x+1/2,y+1/2,-z'
'y,-x+1/2,z'
'-y,x+1/2,-z'
'x+1/2,-y,-z'
'-x+1/2,y,z'
'-y,-x,-z'
'y,x,z'
'-x,y+1/2,-z'
'x,-y+1/2,z'
'y+1/2,x+1/2,-z'
'-y+1/2,-x+1/2,z'
loop_
_atom_site_label
_atom_site_type_symbol
_atom_site_fract_x
_atom_site_fract_y
_atom_site_fract_z
Ac1 Ac 0.250 0.250 0.098
Mn1 Mn 0.250 0.250 0.599
Se1 Se 0.250 0.250 0.412
Se2 Se 0.250 0.250 0.779
O1 O 0.250 0.750 0.000
```

---

No. 4
The following is a DFT calculation (PBE with a Hubbard U) of a relaxed AcMn2SeO8 crystal.

Computed properties:
- E_tot: -6.59 eV per atom

```
data_AcMn2SeO8
_cell_length_a 4.448
_cell_length_b 4.616
_cell_length_c 7.438
_cell_angle_alpha 83.22
_cell_angle_beta 88.50
_cell_angle_gamma 87.45
_space_group_name_H-M_alt 'P -1'
_space_group_IT_number 2
loop_
_space_group_symop_operation_xyz
'x,y,z'
'-x,-y,-z'
loop_
_atom_site_label
_atom_site_type_symbol
_atom_site_fract_x
_atom_site_fract_y
_atom_site_fract_z
Ac1 Ac 0.000 0.000 0.000
Mn1 Mn 0.488 0.508 0.305
Se1 Se 0.000 0.000 0.500
O1 O 0.177 0.774 0.701
O2 O 0.193 0.831 0.315
O3 O 0.290 0.270 0.501
O4 O 0.437 0.314 0.932
```

---

No. 5
The following is a DFT calculation (PBE with a Hubbard U) of a relaxed Ac2MnSeO6 crystal.

Computed properties:
- E_tot: -7.04 eV per atom

```
data_Ac2MnSeO6
_cell_length_a 5.778
_cell_length_b 5.778
_cell_length_c 4.334
_cell_angle_alpha 90.00
_cell_angle_beta 90.00
_cell_angle_gamma 90.00
_space_group_name_H-M_alt 'P 4 m m'
_space_group_IT_number 99
loop_
_space_group_symop_operation_xyz
'x,y,z'
'-y,x,z'
'-x,-y,z'
'y,-x,z'
'-x,y,z'
'y,x,z'
'x,-y,z'
'-y,-x,z'
loop_
_atom_site_label
_atom_site_type_symbol
_atom_site_fract_x
_atom_site_fract_y
_atom_site_fract_z
Ac1 Ac 0.000 0.500 0.000
Mn1 Mn 0.000 0.000 0.449
Se1 Se 0.500 0.500 0.416
O1 O 0.000 0.000 0.928
O2 O 0.258 0.258 0.382
O3 O 0.500 0.500 0.993
```

---

No. 6
The following is a DFT calculation (PBE with a Hubbard U) of a relaxed Ac2MnSiO6 crystal.

Computed properties:
- E_tot: -7.94 eV per atom
- Fermi-level density of states: 0.0 states/eV per cell

```
data_Ac2MnSiO6
_cell_length_a 5.528
_cell_length_b 5.528
_cell_length_c 4.224
_cell_angle_alpha 90.00
_cell_angle_beta 90.00
_cell_angle_gamma 90.00
_space_group_name_H-M_alt 'P 4 m m'
_space_group_IT_number 99
loop_
_space_group_symop_operation_xyz
'x,y,z'
'-y,x,z'
'-x,-y,z'
'y,-x,z'
'-x,y,z'
'y,x,z'
'x,-y,z'
'-y,-x,z'
loop_
_atom_site_label
_atom_site_type_symbol
_atom_site_fract_x
_atom_site_fract_y
_atom_site_fract_z
Ac1 Ac 0.000 0.500 0.000
Mn1 Mn 0.000 0.000 0.529
Si1 Si 0.500 0.500 0.505
O1 O 0.000 0.000 0.039
O2 O 0.277 0.277 0.577
O3 O 0.500 0.500 0.103
```

---

No. 7
The following is a DFT calculation (PBE with a Hubbard U) of a relaxed Ac2MnSnO6 crystal.

Computed properties:
- E_tot: -7.50 eV per atom
- Fermi-level density of states: 0.0 states/eV per cell

```
data_Ac2MnSnO6
_cell_length_a 10.227
_cell_length_b 5.850
_cell_length_c 5.923
_cell_angle_alpha 90.00
_cell_angle_beta 125.13
_cell_angle_gamma 90.00
_space_group_name_H-M_alt 'C 1 2/m 1'
_space_group_IT_number 12
loop_
_space_group_symop_operation_xyz
'x,y,z'
'-x,-y,-z'
'-x,y,-z'
'x,-y,z'
'x+1/2,y+1/2,z'
'-x+1/2,-y+1/2,-z'
'-x+1/2,y+1/2,-z'
'x+1/2,-y+1/2,z'
loop_
_atom_site_label
_atom_site_type_symbol
_atom_site_fract_x
_atom_site_fract_y
_atom_site_fract_z
Ac1 Ac 0.250 0.000 0.236
Mn1 Mn 0.000 0.000 0.500
Sn1 Sn 0.000 0.500 0.000
O1 O 0.055 0.253 0.812
O2 O 0.242 0.500 0.337
```

---

No. 8
The following is a DFT calculation (PBE with a Hubbard U) of a relaxed SrAc2MnO5 crystal.

Computed properties:
- E_tot: -7.32 eV per atom
- Fermi-level density of states: 0.0 states/eV per cell

```
data_SrAc2MnO5
_cell_length_a 7.113
_cell_length_b 7.113
_cell_length_c 5.880
_cell_angle_alpha 90.00
_cell_angle_beta 90.00
_cell_angle_gamma 90.00
_space_group_name_H-M_alt 'P 4/m b m'
_space_group_IT_number 127
_space_group_name_Hall '-P 4 2ab'
loop_
_atom_site_label
_atom_site_type_symbol
_atom_site_fract_x
_atom_site_fract_y
_atom_site_fract_z
Sr1 Sr 0.000 0.000 0.000
Ac1 Ac 0.176 0.324 0.500
Mn1 Mn 0.000 0.500 0.000
O1 O 0.000 0.000 0.500
O2 O 0.135 0.635 0.233
```